Here is crystalline CdTcHgBi2 at its relaxed geometry from Alexandria via LeMat-Bulk. Energies are from GGA-PBE.

Lattice parameters (Å, degrees): 5.2541 5.2541 5.4643 90.00 90.00 90.00
Closest atoms and distances in Å follow each position.
Space group P4/mmm (No. 123)
Asymmetric unit:
Cd (0.0000, 0.0000, 0.0000) x1  2 Tc 2.73
Tc (0.0000, 0.0000, 0.5000) x1  4 Bi 2.63, 2 Cd 2.73
Hg (0.5000, 0.5000, 0.0000) x1  4 Cd 3.72, 8 Bi 3.79
Bi (0.0000, 0.5000, 0.5000) x2  2 Tc 2.63

Energy of formation, eV per formula unit: 1.75
Crystal system: tetragonal



Here is crystalline TlCdHgBi at its relaxed geometry from Alexandria via LeMat-Bulk. Energies are from GGA-PBE.

Lattice parameters (Å, degrees): 3.5000 3.5000 9.1839 90.00 90.00 90.00
Closest atoms and distances in Å follow each position.
Space group P4mm (No. 99)
Asymmetric unit:
Tl (0.0000, 0.0000, 0.0000) x1  4 Hg 3.45, 4 Tl 3.50, 4 Bi 3.61
Cd (0.0000, 0.0000, 0.5326) x1  4 Hg 3.11, 4 Bi 3.36
Hg (0.5000, 0.5000, 0.7381) x1  4 Cd 3.11, 4 Tl 3.45
Bi (0.5000, 0.5000, 0.2858) x1  4 Cd 3.36, 4 Bi 3.50, 4 Tl 3.61

Excess energy over the best structure of this formula in the dataset, eV/atom: 0.005
Energy of formation, eV per formula unit: 0.05
Crystal system: tetragonal



Here is crystalline TlCdHg2Bi at its relaxed geometry from Alexandria via LeMat-Bulk. Energies are from GGA-PBE.

Lattice parameters (Å, degrees): 8.7851 3.4761 10.0270 90.00 113.51 90.00
Closest atoms and distances in Å follow each position.
Space group P2_1/m (No. 11)
Asymmetric unit:
Tl (0.0677, 0.2500, 0.1740) x2  2 Cd 3.35, 4 Hg 3.47-3.68, 4 Tl 3.48-3.65, 3 Bi 3.48-3.56
Cd (0.2850, 0.7500, 0.4754) x2  6 Hg 2.99-3.32, 2 Tl 3.35
Hg (0.1253, 0.2500, 0.6369) x2  3 Cd 3.07-3.32, 1 Bi 3.16, 3 Hg 3.25-3.33
Hg (0.4680, 0.7500, 0.2796) x2  3 Cd 2.99-3.08, 2 Bi 3.27, 1 Hg 3.33
Bi (0.3177, 0.2500, 0.9787) x2  3 Hg 3.16-3.27, 4 Bi 3.48-3.52, 1 Tl 3.48

Excess energy over the best structure of this formula in the dataset, eV/atom: 0.000
Energy of formation, eV per formula unit: 0.19
Crystal system: monoclinic